Below is TbDyAg6 after structural relaxation, with properties calculated at the PBE-GGA level.

Lattice parameters (Å, degrees): 5.177 5.177 9.000 115.64 115.64 51.72
Sites, in units of the cell vectors:
Tb 0.000 0.000 0.000
Dy 0.000 0.000 0.500
Ag 0.250 0.250 0.874
Ag 0.251 0.251 0.376
Ag 0.499 0.499 0.250
Ag 0.501 0.501 0.750
Ag 0.749 0.749 0.624
Ag 0.750 0.750 0.126

crystal system = monoclinic
formation enthalpy at 0 K = -211 meV/atom


Below is HoHg6 after structural relaxation, with properties calculated at the PBE-GGA level.

Lattice parameters (Å, degrees): 8.157 8.157 8.157 36.74 36.74 36.74
Sites, in units of the cell vectors:
Ho 0.000 0.000 0.000
Hg 0.139 0.139 0.139
Hg 0.280 0.280 0.280
Hg 0.419 0.419 0.419
Hg 0.581 0.581 0.581
Hg 0.720 0.720 0.720
Hg 0.861 0.861 0.861

crystal system = trigonal
formation enthalpy at 0 K = -135 meV/atom


Below is BaGa2Se4 after structural relaxation, with properties calculated at the PBE-GGA level.

Lattice parameters (Å, degrees): 6.576 6.576 11.586 90.00 90.00 122.13
Sites, in units of the cell vectors:
Ba 0.000 0.000 0.250
Ba 0.000 0.000 0.750
Ga 0.258 0.740 0.000
Ga 0.260 0.742 0.500
Ga 0.740 0.258 0.500
Ga 0.742 0.260 0.000
Se 0.000 0.500 0.161
Se 0.000 0.500 0.839
Se 0.148 0.324 0.500
Se 0.324 0.148 0.000
Se 0.500 0.000 0.339
Se 0.500 0.000 0.661
Se 0.676 0.852 0.000
Se 0.852 0.676 0.500

crystal system = orthorhombic
formation energy from raw total energies = -7.688 eV/f.u.


Q: Which formula does entry 3 have?
A: BaGa2Se4


Repeat the second record exactly.
Below is HoHg6 after structural relaxation, with properties calculated at the PBE-GGA level.

Lattice parameters (Å, degrees): 8.157 8.157 8.157 36.74 36.74 36.74
Sites, in units of the cell vectors:
Ho 0.000 0.000 0.000
Hg 0.139 0.139 0.139
Hg 0.280 0.280 0.280
Hg 0.419 0.419 0.419
Hg 0.581 0.581 0.581
Hg 0.720 0.720 0.720
Hg 0.861 0.861 0.861

crystal system = trigonal
formation enthalpy at 0 K = -135 meV/atom